## ZrCoRh2I (PBE)

Data for a relaxed ZrCoRh2I crystal.

CIF file:
```
data_ZrCoRh2I
_cell_length_a 4.562
_cell_length_b 4.562
_cell_length_c 4.764
_cell_angle_alpha 90.00
_cell_angle_beta 90.00
_cell_angle_gamma 90.00
_symmetry_space_group_name_H-M 'P 4/m m m'
_symmetry_Int_Tables_number 123
_symmetry_space_group_name_Hall '-P 4 2'
loop_
_atom_site_label
_atom_site_type_symbol
_atom_site_fract_x
_atom_site_fract_y
_atom_site_fract_z
_atom_site_occupancy
Zr1 Zr 0.000 0.000 0.000 1
Co1 Co 0.500 0.500 0.500 1
Rh1 Rh 0.000 0.500 0.500 1
I1 I 0.500 0.500 0.000 1
```

Results
D(E_F): 4.3 states/eV/cell
Formation energy from raw total energies: 0.73 eV per atom